Density functional theory data (PBE) for MnCu2Se after structural relaxation.

```
data_MnCu2Se
_cell_length_a 3.301
_cell_length_b 3.275
_cell_length_c 5.935
_cell_angle_alpha 90.00
_cell_angle_beta 106.07
_cell_angle_gamma 90.00
_symmetry_space_group_name_H-M 'P 1'
_symmetry_Int_Tables_number 1
_symmetry_space_group_name_Hall 'P 1'
loop_
_atom_site_label
_atom_site_type_symbol
_atom_site_fract_x
_atom_site_fract_y
_atom_site_fract_z
Mn1 Mn 0.000 0.000 0.000
Cu1 Cu 0.222 0.000 0.446
Cu2 Cu 0.628 0.500 0.258
Se1 Se 0.398 0.500 0.797
```

## Properties
SG = Pm
uncorrected formation energy = 32 kJ/mol of formula units